i.
VASP calculation (PBE-GGA) on Ta2FeCl after structural relaxation.

a = 2.9907 Å, b = 3.0045 Å, c = 7.4693 Å
α = 90.00°, β = 90.00°, γ = 90.00°
Closest atoms and distances in Å follow each position.
Fractional coordinates of all 4 atoms:
Fe: 0.5000 0.7500 0.7500  8 Ta 2.62
Ta: 0.0000 0.2499 0.5446  4 Fe 2.62, 2 Cl 2.66
Cl: 0.5000 0.2500 0.2500  4 Ta 2.66
Ta: 0.0000 0.2501 0.9554  4 Fe 2.62, 2 Cl 2.66

Summary:
Symmetry: Pmmm (47)
Density, g cm⁻³: 11.2

=====

ii.
VASP calculation (PBE-GGA) on Ta2FeCl after structural relaxation.

a = 4.4270 Å, b = 4.4270 Å, c = 4.4270 Å
α = 60.00°, β = 60.00°, γ = 60.00°
Closest atoms and distances in Å follow each position.
Fractional coordinates of all 4 atoms:
Ta: 0.7500 0.7500 0.7500  4 Fe 2.71, 4 Cl 2.71
Ta: 0.2500 0.2500 0.2500  4 Fe 2.71, 4 Cl 2.71
Cl: 0.0000 0.0000 0.0000  8 Ta 2.71
Fe: 0.5000 0.5000 0.5000  8 Ta 2.71

Summary:
Symmetry: Fm-3m (225)
Density, g cm⁻³: 12.3

=====

Stability check: which of them is most stable? i.